This record from Alexandria via LeMat-Bulk describes crystalline Ni3Pt2 at its relaxed geometry. The functional is GGA-PBE.

Structure (POSCAR):
```
Ni3Pt2
1.0
4.589 0.000 0.000
-1.585 5.106 0.000
-0.699 -1.628 5.561
Ni Pt
6 4
Direct
0.102 0.452 0.211
0.301 0.838 0.594
0.305 0.360 0.596
0.695 0.640 0.404
0.699 0.162 0.406
0.898 0.548 0.789
0.096 0.953 0.221
0.487 0.743 0.997
0.513 0.257 0.003
0.904 0.047 0.779
```

**Total energy**: -5.9381 eV per atom
**Fermi-level density of states**: 16.2 states/eV/cell
**Space-group type**: P-1 (2)
**Spin magnetization**: 2.89 μB/f.u.

=====

This record from Alexandria via LeMat-Bulk describes crystalline Ni5Pt3 at its relaxed geometry. The functional is GGA-PBE.

Structure (POSCAR):
```
Ni5Pt3
1.0
7.364 0.000 0.000
-3.682 6.378 0.000
0.000 0.000 4.581
Ni Pt
10 6
Direct
0.000 0.203 0.250
0.000 0.797 0.750
0.203 0.000 0.250
0.203 0.203 0.750
0.333 0.667 0.000
0.333 0.667 0.500
0.667 0.333 0.000
0.667 0.333 0.500
0.797 0.000 0.750
0.797 0.797 0.250
0.000 0.395 0.750
0.000 0.605 0.250
0.395 0.000 0.750
0.395 0.395 0.250
0.605 0.000 0.250
0.605 0.605 0.750
```

**Total energy**: -5.7835 eV per atom
**Fermi-level density of states**: 24.3 states/eV/cell
**Space-group type**: P6_3/mcm (193)
**Spin magnetization**: 4.62 μB/f.u.

=====

This record from Alexandria via LeMat-Bulk describes crystalline NiPt3 at its relaxed geometry. The functional is GGA-PBE.

Structure (POSCAR):
```
NiPt3
1.0
2.748 0.000 0.000
-1.374 2.380 0.000
0.000 0.000 9.057
Ni Pt
1 3
Direct
0.000 0.000 0.000
0.000 0.000 0.500
0.333 0.667 0.232
0.333 0.667 0.768
```

**Total energy**: -5.9669 eV per atom
**Fermi-level density of states**: 7.8 states/eV/cell
**Space-group type**: P-6m2 (187)
**Spin magnetization**: 1.63 μB/f.u.

=====

This record from Alexandria via LeMat-Bulk describes crystalline NiPt at its relaxed geometry. The functional is GGA-PBE.

Structure (POSCAR):
```
NiPt
1.0
4.866 0.000 0.000
0.000 4.866 0.000
0.000 0.000 5.003
Ni Pt
4 4
Direct
0.184 0.184 0.000
0.316 0.684 0.500
0.684 0.316 0.500
0.816 0.816 0.000
0.191 0.191 0.500
0.309 0.691 0.000
0.691 0.309 0.000
0.809 0.809 0.500
```

**Total energy**: -5.5816 eV per atom
**Fermi-level density of states**: 14.2 states/eV/cell
**Space-group type**: P4_2/mnm (136)
**Spin magnetization**: 0.36 μB/f.u.